YCdGe2Pt5 | PBE | optimized geometry

Energy of formation from the pure elements, eV/atom: -0.62
Crystal system: tetragonal
Calculated total energy, eV per atom: -5.8199
DOS at the Fermi energy, states/eV per cell: 5.84

Cell and atoms, written as POSCAR:
```
YCdGe2Pt5
1.0
4.201 0.000 0.000
0.000 4.201 0.000
0.000 0.000 9.000
Y Cd Ge Pt
1 1 2 5
Direct
0.000 0.000 0.000
0.000 0.000 0.500
0.500 0.500 0.135
0.500 0.500 0.865
0.000 0.500 0.277
0.500 0.000 0.277
0.000 0.500 0.723
0.500 0.000 0.723
0.500 0.500 0.500
```